4
Lattice="3.061 -1.350 4.780 2.044 -3.996 3.728 4.505 -2.730 2.509" Properties=species:S:1:pos:R:3 comment="PBE-GGA NiN2Cl, optimized geometry" e_above_lowest_polymorph_mev_per_atom=0 raw_formation_energy_ev_per_atom=0.91 pbc="T T T"
Ni 4.805 -4.038 5.508
N 8.517 -7.157 9.764
N 1.093 -0.918 1.253
Cl 0.000 0.000 0.000

8
Lattice="-2.531 4.288 -1.155 -1.605 0.356 4.839 1.726 4.851 2.915" Properties=species:S:1:pos:R:3 comment="PBE-GGA Tc2CCl, optimized geometry" e_above_lowest_polymorph_mev_per_atom=0 raw_formation_energy_ev_per_atom=0.69 pbc="T T T"
C -2.068 2.322 1.842
C -0.974 3.764 4.798
Tc -1.195 3.672 0.683
Tc -1.045 2.236 3.537
Tc -0.356 5.402 3.867
Tc -2.226 7.679 5.110
Cl 0.000 0.000 0.000
Cl -1.437 5.730 1.801

6
Lattice="4.858 0.000 0.000 0.000 4.858 0.000 0.000 0.000 7.820" Properties=species:S:1:pos:R:3 comment="PBE-GGA BaSbAu, optimized geometry" raw_formation_energy_ev_per_atom=-0.18 pbc="T T T"
Sb 0.000 2.429 1.264
Sb 2.429 0.000 6.556
Au 0.000 2.429 6.310
Au 2.429 0.000 1.510
Ba 0.000 0.000 3.910
Ba 2.429 2.429 3.910

5
Lattice="4.582 0.000 0.000 0.000 4.376 0.000 0.000 0.000 4.582" Properties=species:S:1:pos:R:3 comment="PBE-GGA CdFe2CuGe, optimized geometry" delta_e_f_ev_per_atom=0.8235 pbc="T T T"
Ge 0.000 2.188 0.000
Fe 0.000 0.000 2.291
Fe 2.291 0.000 0.000
Cu 0.000 0.000 0.000
Cd 2.291 2.188 2.291